# CeGePt2 GGA-PBE optimized geometry
data_CeGePt2
_space_group_name_H-M_alt 'R -3 m'
_space_group_IT_number 166
_space_group_name_Hall '-R 3 2"'
_cell_length_a 4.2902
_cell_length_b 4.2902
_cell_length_c 15.1014
_cell_angle_alpha 90.00
_cell_angle_beta 90.00
_cell_angle_gamma 120.00
loop_
_atom_site_label
_atom_site_type_symbol
_atom_site_fract_x
_atom_site_fract_y
_atom_site_fract_z
Ce1 Ce 0.0000 0.0000 0.0000
Ge1 Ge 0.0000 0.0000 0.5000
Pt1 Pt 0.0000 0.0000 0.2182
# - formation energy from the elements (kcal/mol of atoms) = -20.0
# - E (eV per atom) = -6.53